(1)
PaGeAuO: relaxed, PBE.

Values from the calculation:
Energy (Ry per atom): -0.5215
Space-group type: P4/nmm, No. 129
Formation energy (no corrections) (eV per atom): -1.508
D(E_F) (states/eV/cell): 2.516

Cell: 4.0369 4.0369 8.4146 Å, 90.00 90.00 90.00°
Closest atoms and distances in Å follow each position.
Fractional coordinates of all 8 atoms:
Pa (0.2500, 0.2500, 0.1520)  4 O 2.39
Pa (0.7500, 0.7500, 0.8480)  4 O 2.39
Ge (0.2500, 0.2500, 0.7082)  4 Au 2.67
Ge (0.7500, 0.7500, 0.2918)  4 Au 2.67
Au (0.2500, 0.7500, 0.5000)  4 Ge 2.67, 4 Au 2.85
Au (0.7500, 0.2500, 0.5000)  4 Ge 2.67, 4 Au 2.85
O (0.2500, 0.7500, 0.0000)  4 Pa 2.39
O (0.7500, 0.2500, 0.0000)  4 Pa 2.39

***

(2)
PuZrNb: relaxed, PBE.

Values from the calculation:
Energy (Ry per atom): -0.7922
Space-group type: I4mm, No. 107
Energy of formation from the pure elements (eV per atom): 0.20
D(E_F) (states/eV/cell): 5.998
Relative energy among the computed polymorphs (eV per atom): 0.000

Cell: 5.9861 5.9861 5.9861 Å, 146.76 146.76 47.71°
Closest atoms and distances in Å follow each position.
Fractional coordinates of all 3 atoms:
Pu (0.0000, 0.0000, 0.0000)  4 Nb 2.96, 4 Zr 3.14
Zr (0.3173, 0.3173, 0.0000)  4 Nb 3.00, 4 Pu 3.14
Nb (0.6557, 0.6557, 0.0000)  4 Pu 2.96, 4 Zr 3.00